# TaCd3Pb, optimized geometry, DFT GGA-PBEsol
# - space group = Pm-3m, No. 221
# - total DFT energy (no corrections) (eV/atom) = -2.965
# - total magnetic moment (μB/f.u.) = 0.0
data_TaCd3Pb
_symmetry_space_group_name_H-M 'P 1'
_symmetry_Int_Tables_number 1
_symmetry_space_group_name_Hall 'P 1'
_cell_length_a 5.288
_cell_length_b 5.288
_cell_length_c 5.288
_cell_angle_alpha 90.00
_cell_angle_beta 90.00
_cell_angle_gamma 90.00
loop_
_atom_site_label
_atom_site_fract_x
_atom_site_fract_y
_atom_site_fract_z
_atom_site_occupancy
Ta1 0.000 0.000 0.000 1
Cd1 0.000 0.000 0.500 1
Cd2 0.000 0.500 0.000 1
Cd3 0.500 0.000 0.000 1
Pb1 0.500 0.500 0.500 1